No. 1
Computed, not measured: a relaxed Ni2BiAsP crystal at the GGA-PBE level of DFT.

Properties
As for the crystal system: tetragonal.

a b c (Å): 4.7676 5.2920 4.7676
angles (deg): 90.00 90.00 90.00
Closest atoms and distances in Å follow each position.
Atoms (fractional coordinates):
Ni 0.0000 0.0000 0.5000  2 Bi 2.38
Ni 0.5000 0.0000 0.0000  2 Bi 2.38
As 0.5000 0.5000 0.5000  4 P 3.37, 8 Ni 3.56
Bi 0.0000 0.0000 0.0000  4 Ni 2.38, 2 P 2.65
P 0.0000 0.5000 0.0000  2 Bi 2.65



No. 2
Computed, not measured: a relaxed PmNiBiAs crystal at the GGA-PBE level of DFT.

Properties
As for the crystal system: cubic.

a b c (Å): 5.0118 5.0118 5.0118
angles (deg): 60.00 60.00 60.00
Closest atoms and distances in Å follow each position.
Atoms (fractional coordinates):
Ni 0.7500 0.7500 0.7500  4 Bi 3.07, 4 Pm 3.07
As 0.2500 0.2500 0.2500  4 Bi 3.07, 4 Pm 3.07
Bi 0.0000 0.0000 0.0000  4 Ni 3.07, 4 As 3.07
Pm 0.5000 0.5000 0.5000  4 As 3.07, 4 Ni 3.07



No. 3
Computed, not measured: a relaxed Ni18Bi3AsS16 crystal at the GGA-PBE level of DFT.

Properties
The value obtained for the raw formation energy is -351 meV per atom. As for the crystal system: tetragonal.

a b c (Å): 9.0537 9.0537 9.0537
angles (deg): 110.79 110.79 106.87
Closest atoms and distances in Å follow each position.
Atoms (fractional coordinates):
Ni 0.2354 0.2354 0.7145  4 S 2.27-2.38, 1 As 2.46
Ni 0.2354 0.5210 0.0000  4 S 2.27-2.38, 1 As 2.46
Ni 0.0000 0.5000 0.5000  4 S 2.30
Ni 0.2982 0.9534 0.0000  4 S 2.23-2.27
Ni 0.0466 0.7018 0.0000  4 S 2.23-2.27
Ni 0.0466 0.0466 0.3448  4 S 2.23-2.27
Ni 0.4790 0.7646 0.0000  4 S 2.27-2.38, 1 As 2.46
Ni 0.9534 0.9534 0.6552  4 S 2.23-2.27
Ni 0.4790 0.4790 0.7145  4 S 2.27-2.38, 1 As 2.46
Ni 0.2982 0.2982 0.3448  4 S 2.23-2.27
Ni 0.9534 0.2982 0.0000  4 S 2.23-2.27
Ni 0.5210 0.5210 0.2855  4 S 2.27-2.38, 1 As 2.46
Ni 0.7646 0.7646 0.2855  4 S 2.27-2.38, 1 As 2.46
Ni 0.5210 0.2354 0.0000  4 S 2.27-2.38, 1 As 2.46
Ni 0.7018 0.7018 0.6552  4 S 2.23-2.27
Ni 0.5000 0.0000 0.5000  4 S 2.30
Ni 0.7646 0.4790 0.0000  4 S 2.27-2.38, 1 As 2.46
Ni 0.7018 0.0466 0.0000  4 S 2.23-2.27
Bi 0.7500 0.2500 0.5000  2 Ni 2.70, 4 S 2.80
Bi 0.2500 0.7500 0.5000  2 Ni 2.70, 4 S 2.80
Bi 0.0000 0.0000 0.0000  8 Ni 2.85
As 0.5000 0.5000 0.0000  8 Ni 2.46
S 0.7606 0.5331 0.7725  4 Ni 2.23-2.27
S 0.4669 0.2394 0.2275  4 Ni 2.23-2.27
S 0.1644 0.3487 0.5131  5 Ni 2.27-2.38
S 0.8356 0.6513 0.4869  5 Ni 2.27-2.38
S 0.3487 0.8356 0.1844  5 Ni 2.27-2.38
S 0.8356 0.3487 0.1844  5 Ni 2.27-2.38
S 0.6513 0.8356 0.4869  5 Ni 2.27-2.38
S 0.1644 0.6513 0.8156  5 Ni 2.27-2.38
S 0.2394 0.0119 0.7725  4 Ni 2.23-2.27
S 0.3487 0.1644 0.5131  5 Ni 2.27-2.38
S 0.0119 0.2394 0.7725  4 Ni 2.23-2.27
S 0.2394 0.4669 0.2275  4 Ni 2.23-2.27
S 0.6513 0.1644 0.8156  5 Ni 2.27-2.38
S 0.9881 0.7606 0.2275  4 Ni 2.23-2.27
S 0.7606 0.9881 0.2275  4 Ni 2.23-2.27
S 0.5331 0.7606 0.7725  4 Ni 2.23-2.27



No. 4
Computed, not measured: a relaxed SiNi2BiAs crystal at the GGA-PBE level of DFT.

Properties
The value obtained for the raw formation energy is 696 meV per atom. As for the crystal system: tetragonal.

a b c (Å): 4.3602 5.7802 4.3602
angles (deg): 90.00 90.00 90.00
Closest atoms and distances in Å follow each position.
Atoms (fractional coordinates):
Ni 0.0000 0.0000 0.5000  2 As 2.18
Ni 0.5000 0.0000 0.0000  2 As 2.18
As 0.0000 0.0000 0.0000  4 Ni 2.18
Si 0.5000 0.5000 0.5000  4 Bi 3.08
Bi 0.0000 0.5000 0.0000  2 As 2.89, 4 Si 3.08



No. 5
Computed, not measured: a relaxed NiSnBi2As crystal at the GGA-PBE level of DFT.

Properties
As for the crystal system: tetragonal.

a b c (Å): 5.5328 5.3194 5.5328
angles (deg): 90.00 90.00 90.00
Closest atoms and distances in Å follow each position.
Atoms (fractional coordinates):
Ni 0.5000 0.5000 0.5000  8 Bi 3.84, 4 Sn 3.91
As 0.0000 0.0000 0.0000  2 Sn 2.66, 4 Bi 2.77
Bi 0.0000 0.0000 0.5000  2 As 2.77
Bi 0.5000 0.0000 0.0000  2 As 2.77
Sn 0.0000 0.5000 0.0000  2 As 2.66



No. 6
Computed, not measured: a relaxed TcNi2BiAs crystal at the GGA-PBE level of DFT.

Properties
As for the crystal system: tetragonal.

a b c (Å): 4.6929 5.1990 4.6929
angles (deg): 90.00 90.00 90.00
Closest atoms and distances in Å follow each position.
Atoms (fractional coordinates):
Ni 0.0000 0.0000 0.5000  2 Bi 2.35
Ni 0.5000 0.0000 0.0000  2 Bi 2.35
As 0.5000 0.5000 0.5000  4 Tc 3.32, 8 Ni 3.50
Bi 0.0000 0.0000 0.0000  4 Ni 2.35, 2 Tc 2.60
Tc 0.0000 0.5000 0.0000  2 Bi 2.60



No. 7
Computed, not measured: a relaxed Np2BiAs crystal at the GGA-PBE level of DFT.

Properties
As for the crystal system: trigonal.

a b c (Å): 4.3015 4.3015 7.4628
angles (deg): 73.25 73.25 60.00
Closest atoms and distances in Å follow each position.
Atoms (fractional coordinates):
Np 0.2603 0.2603 0.2192  3 As 2.92, 3 Bi 3.17
Np 0.7397 0.7397 0.7808  3 As 2.92, 3 Bi 3.17
As 0.0000 0.0000 0.0000  6 Np 2.92
Bi 0.5000 0.5000 0.5000  6 Np 3.17



No. 8
Computed, not measured: a relaxed NpBiAs2 crystal at the GGA-PBE level of DFT.

Properties
As for the crystal system: trigonal. The offset from the most stable computed form comes out at 110 kJ/mol of formula units.

a b c (Å): 4.0297 4.0297 9.1028
angles (deg): 77.21 77.21 60.00
Closest atoms and distances in Å follow each position.
Atoms (fractional coordinates):
Np 0.5000 0.5000 0.5000  6 As 2.80
As 0.1078 0.1078 0.6767  3 Np 2.80, 1 Bi 2.85
As 0.8922 0.8922 0.3233  3 Np 2.80, 1 Bi 2.85
Bi 0.0000 0.0000 0.0000  2 As 2.85



No. 9
Computed, not measured: a relaxed NpBiAs crystal at the GGA-PBE level of DFT.

Properties
As for the crystal system: monoclinic.

a b c (Å): 4.5468 4.5468 8.4129
angles (deg): 94.34 94.34 89.30
Closest atoms and distances in Å follow each position.
Atoms (fractional coordinates):
As 0.8167 0.8167 0.5043  1 As 2.38
As 0.1833 0.1833 0.4957  1 As 2.38
Bi 0.5847 0.5847 0.8334  1 Bi 3.12, 5 Np 3.20-3.45, 1 As 3.29
Bi 0.4153 0.4153 0.1666  1 Bi 3.12, 5 Np 3.20-3.45, 1 As 3.29
Np 0.0798 0.0798 0.8197  2 As 2.88-3.00, 3 Bi 3.20-3.22
Np 0.9202 0.9202 0.1803  2 As 2.88-3.00, 3 Bi 3.20-3.22



No. 10
Computed, not measured: a relaxed Np2BiAs crystal at the GGA-PBE level of DFT.

Properties
As for the crystal system: tetragonal.

a b c (Å): 3.5468 3.5468 7.8932
angles (deg): 90.00 90.00 90.00
Closest atoms and distances in Å follow each position.
Atoms (fractional coordinates):
Np 0.0000 0.0000 0.7914  4 As 3.00, 1 Np 3.29
Np 0.0000 0.0000 0.2086  4 As 3.00, 1 Np 3.29
As 0.5000 0.5000 0.0000  8 Np 3.00
Bi 0.5000 0.5000 0.5000  8 Np 3.40, 4 Bi 3.55



No. 11
Computed, not measured: a relaxed NpBiAs2 crystal at the GGA-PBE level of DFT.

Properties
As for the crystal system: trigonal. The offset from the most stable computed form comes out at 19 kJ/mol of formula units.

a b c (Å): 4.0576 4.0576 7.7446
angles (deg): 74.81 74.81 60.00
Closest atoms and distances in Å follow each position.
Atoms (fractional coordinates):
Np 0.4988 0.4988 0.5037  6 As 2.92-2.98
Bi 0.6661 0.6661 0.0017  6 As 3.00-3.04
As 0.0869 0.0869 0.7394  3 Np 2.92, 3 Bi 3.04
As 0.2483 0.2483 0.2552  3 Np 2.98, 3 Bi 3.00



No. 12
Computed, not measured: a relaxed NpBiAs2 crystal at the GGA-PBE level of DFT.

Properties
As for the crystal system: tetragonal. The offset from the most stable computed form comes out at 0 kJ/mol of formula units.

a b c (Å): 3.8413 4.9055 4.9055
angles (deg): 90.00 90.00 90.00
Closest atoms and distances in Å follow each position.
Atoms (fractional coordinates):
Np 0.5000 0.5000 0.5000  8 As 3.12, 4 Bi 3.47
As 0.0000 0.0000 0.5000  4 Bi 3.12, 4 Np 3.12, 4 As 3.47
As 0.0000 0.5000 0.0000  4 Bi 3.12, 4 Np 3.12, 4 As 3.47
Bi 0.5000 0.0000 0.0000  8 As 3.12, 4 Np 3.47



Total DFT energy (no corrections), respectively: -18.63; -20.01; -199.72; -22.04; -17.15; -22.91; -35.48; -25.82; -42.40; -35.50; -26.76; -26.96 eV per cell.